Entry 1:
Entry from Alexandria: an optimized crystal structure of LiYAgBi (PBE-GGA).

Cell lengths 5.135, 5.135, 5.135 Å; angles 60.00, 60.00, 60.00 degrees
Positions (direct):
Li 0.250 0.250 0.250
Y 0.750 0.750 0.750
Ag 0.000 0.000 0.000
Bi 0.500 0.500 0.500

Calculated values
density	7.16	g/cm³
density of states at the Fermi level	1.72	states/eV/cell
calculated formation energy	-42.3	kJ per mole of atoms
space-group type	F-43m

***

Entry 2:
Entry from Alexandria: an optimized crystal structure of Er2TmMg5Sc2 (PBE-GGA).

Cell lengths 4.934, 10.265, 10.265 Å; angles 90.00, 90.00, 90.00 degrees
Positions (direct):
Mg 0.500 0.930 0.202
Mg 0.500 0.070 0.798
Mg 0.500 0.000 0.500
Mg 0.500 0.298 0.570
Mg 0.500 0.500 0.000
Mg 0.500 0.570 0.702
Mg 0.500 0.430 0.298
Mg 0.500 0.798 0.930
Mg 0.500 0.702 0.430
Mg 0.500 0.202 0.070
Er 0.000 0.179 0.321
Er 0.000 0.821 0.679
Er 0.000 0.679 0.179
Er 0.000 0.321 0.821
Tm 0.000 0.500 0.500
Tm 0.000 0.000 0.000
Sc 0.000 0.616 0.884
Sc 0.000 0.384 0.116
Sc 0.000 0.116 0.616
Sc 0.000 0.884 0.384

Calculated values
density	4.57	g/cm³
density of states at the Fermi level	15.21	states/eV/cell
calculated formation energy	4.4	kJ per mole of atoms
space-group type	P4/mbm

***

Entry 3:
Entry from Alexandria: an optimized crystal structure of AcHoZnSn (PBE-GGA).

Cell lengths 5.436, 5.436, 5.436 Å; angles 60.00, 60.00, 60.00 degrees
Positions (direct):
Ac 0.500 0.500 0.500
Zn 0.750 0.750 0.750
Sn 0.250 0.250 0.250
Ho 0.000 0.000 0.000

Calculated values
density	8.42	g/cm³
density of states at the Fermi level	2.59	states/eV/cell
calculated formation energy	-40.4	kJ per mole of atoms
space-group type	F-43m

***

Entry 4:
Entry from Alexandria: an optimized crystal structure of Tl2BiSb2Au7 (PBE-GGA).

Cell lengths 4.463, 4.463, 15.496 Å; angles 82.45, 82.45, 88.34 degrees
Positions (direct):
Au 0.968 0.448 0.141
Au 0.448 0.968 0.141
Au 0.442 0.442 0.421
Au 0.558 0.558 0.579
Au 0.032 0.552 0.859
Au 0.500 0.500 0.000
Au 0.552 0.032 0.859
Bi 0.000 0.000 0.000
Sb 0.428 0.428 0.247
Sb 0.572 0.572 0.753
Tl 0.076 0.076 0.603
Tl 0.924 0.924 0.397

Calculated values
density	12.26	g/cm³
energy relative to the elements, uncorrected	1	kJ/mol of atoms
density of states at the Fermi level	4.85	states/eV/cell
space-group type	C2/m

***

Entry 5:
Entry from Alexandria: an optimized crystal structure of CsNb3B (PBE-GGA).

Cell lengths 4.995, 4.995, 4.995 Å; angles 90.00, 90.00, 90.00 degrees
Positions (direct):
B 0.500 0.500 0.500
Nb 0.500 0.000 0.000
Nb 0.000 0.000 0.500
Nb 0.000 0.500 0.000
Cs 0.000 0.000 0.000

Calculated values
distance to the lowest polymorph of the same formula	2.351	eV per atom
density	5.63	g/cm³
density of states at the Fermi level	4.56	states/eV/cell
calculated formation energy	340.2	kJ per mole of atoms
space-group type	Pm-3m

***

Entry 6:
Entry from Alexandria: an optimized crystal structure of ScMn2Ir (PBE-GGA).

Cell lengths 8.602, 8.602, 8.602 Å; angles 19.32, 19.32, 19.32 degrees
Each line ends with the local moment (μB).
Positions (direct):
Mn 0.003 0.003 0.003  3.05
Mn 0.744 0.744 0.744  -2.47
Ir 0.254 0.254 0.254  0.16
Sc 0.500 0.500 0.500  0.23

Calculated values
distance to the lowest polymorph of the same formula	0.332	eV per atom
density	9.46	g/cm³
density of states at the Fermi level	4.88	states/eV/cell
calculated formation energy	6.8	kJ per mole of atoms
space-group type	R3m

***

Entry 7:
Entry from Alexandria: an optimized crystal structure of BeRu2Rh (PBE-GGA).

Cell lengths 2.847, 4.245, 4.354 Å; angles 90.00, 90.00, 90.00 degrees
Each line ends with the local moment (μB).
Positions (direct):
Ru 0.500 0.500 0.000  0.59
Ru 0.000 0.000 0.000  0.29
Be 0.500 0.000 0.500  0.00
Rh 0.000 0.500 0.500  0.14

Calculated values
density	9.91	g/cm³
density of states at the Fermi level	4.43	states/eV/cell
calculated formation energy	14.7	kJ per mole of atoms
space-group type	Pmmm

***

Entry 8:
Entry from Alexandria: an optimized crystal structure of HfNp2S5 (PBE-GGA).

Cell lengths 7.209, 7.857, 11.258 Å; angles 90.00, 90.00, 90.00 degrees
Each line ends with the local moment (μB).
Positions (direct):
S 0.675 0.462 0.417  -0.05
S 0.825 0.462 0.917  -0.05
S 0.652 0.250 0.690  -0.08
S 0.326 0.250 0.289  -0.08
S 0.325 0.538 0.583  -0.05
S 0.152 0.750 0.810  -0.08
S 0.450 0.250 0.002  -0.09
S 0.175 0.962 0.083  -0.05
S 0.674 0.750 0.711  -0.08
S 0.325 0.962 0.583  -0.05
S 0.950 0.750 0.498  -0.09
S 0.848 0.250 0.190  -0.08
S 0.550 0.750 0.998  -0.09
S 0.050 0.250 0.502  -0.09
S 0.175 0.538 0.083  -0.05
S 0.348 0.750 0.310  -0.08
S 0.825 0.038 0.917  -0.05
S 0.174 0.250 0.789  -0.08
S 0.826 0.750 0.211  -0.08
S 0.675 0.038 0.417  -0.05
Np 0.045 0.501 0.325  3.85
Np 0.955 0.499 0.675  3.85
Np 0.045 0.999 0.325  3.85
Np 0.955 0.001 0.675  3.85
Np 0.455 0.999 0.825  3.85
Np 0.545 0.499 0.175  3.85
Np 0.455 0.501 0.825  3.85
Np 0.545 0.001 0.175  3.85
Hf 0.575 0.750 0.492  0.10
Hf 0.075 0.250 0.008  0.10
Hf 0.425 0.250 0.508  0.10
Hf 0.925 0.750 0.992  0.10

Calculated values
distance to the lowest polymorph of the same formula	0.000	eV per atom
density	8.47	g/cm³
energy relative to the elements, uncorrected	-142	kJ/mol of atoms
density of states at the Fermi level	69.44	states/eV/cell
space-group type	Pnma